No. 1
Compound: Ho6ErSe8
Source: Alexandria
Functional: GGA-PBE
Structure: relaxed

Computed properties:
Calculated total energy (eV per atom): -5.81
Calculated volume (Å³ per cell): 373
E_form (uncorrected) (eV/atom): -1.8119
Magnetization (μB/atom): 0.000

a b c (Å): 8.0811 8.0811 8.0811
angles (deg): 60.00 60.00 60.00
Closest atoms and distances in Å follow each position.
Fractional positions:
Ho1 0.0000 0.5000 0.5000  6 Se 2.86
Ho2 0.5000 0.0000 0.0000  6 Se 2.86
Ho3 0.5000 0.5000 0.0000  6 Se 2.86
Ho4 0.0000 0.0000 0.5000  6 Se 2.86
Ho5 0.0000 0.5000 0.0000  6 Se 2.86
Ho6 0.5000 0.0000 0.5000  6 Se 2.86
Er1 0.0000 0.0000 0.0000  6 Se 2.89
Se1 0.7500 0.7500 0.7500  6 Ho 2.86
Se2 0.2500 0.2500 0.2500  6 Ho 2.86
Se3 0.7473 0.2527 0.2527  4 Ho 2.86, 1 Er 2.89
Se4 0.2527 0.7473 0.7473  4 Ho 2.86, 1 Er 2.89
Se5 0.2527 0.2527 0.7473  4 Ho 2.86, 1 Er 2.89
Se6 0.7473 0.7473 0.2527  4 Ho 2.86, 1 Er 2.89
Se7 0.7473 0.2527 0.7473  4 Ho 2.86, 1 Er 2.89
Se8 0.2527 0.7473 0.2527  4 Ho 2.86, 1 Er 2.89

No. 2
Compound: HoEr2Se4
Source: Alexandria
Functional: GGA-PBE
Structure: relaxed

Computed properties:
Calculated total energy (eV per atom): -5.76
Energy above the lowest structure with this stoichiometry (meV per atom): 3.0
Calculated volume (Å³ per cell): 359
E_form (uncorrected) (eV/atom): -1.8116
Magnetization (μB/atom): 0.000

a b c (Å): 3.9369 6.9461 13.7054
angles (deg): 90.00 90.00 106.46
Closest atoms and distances in Å follow each position.
Fractional positions:
Ho1 0.6276 0.2551 0.7500  6 Se 2.87-2.93
Ho2 0.3724 0.7449 0.2500  6 Se 2.87-2.93
Er1 0.1301 0.2602 0.4303  6 Se 2.79-2.90
Er2 0.8699 0.7398 0.9303  6 Se 2.79-2.90
Er3 0.1301 0.2602 0.0697  6 Se 2.79-2.90
Er4 0.8699 0.7398 0.5697  6 Se 2.79-2.90
Se1 0.7769 0.5538 0.1219  3 Er 2.87-2.90, 2 Ho 2.93
Se2 0.7769 0.5538 0.3781  3 Er 2.87-2.90, 2 Ho 2.93
Se3 0.2231 0.4462 0.8781  3 Er 2.87-2.90, 2 Ho 2.93
Se4 0.2231 0.4462 0.6219  3 Er 2.87-2.90, 2 Ho 2.93
Se5 0.9707 0.9414 0.7500  2 Er 2.81, 2 Ho 2.87
Se6 0.0293 0.0586 0.2500  2 Er 2.81, 2 Ho 2.87
Se7 0.5000 0.0000 0.0000  4 Er 2.79
Se8 0.5000 0.0000 0.5000  4 Er 2.79

No. 3
Compound: HoErSe2
Source: Alexandria
Functional: GGA-PBE
Structure: relaxed

Computed properties:
Calculated total energy (eV per atom): -5.74
Energy above the lowest structure with this stoichiometry (meV per atom): 0.0
Calculated volume (Å³ per cell): 95
E_form (uncorrected) (eV/atom): -1.7107
Magnetization (μB/atom): 0.000

a b c (Å): 3.9356 3.9356 7.4195
angles (deg): 74.62 74.62 60.00
Closest atoms and distances in Å follow each position.
Fractional positions:
Ho1 0.4950 0.4950 0.5149  6 Se 2.84-2.97
Er1 0.6718 0.6718 0.9847  6 Se 2.79-2.92
Se1 0.0813 0.0813 0.7561  3 Er 2.79, 3 Ho 2.84
Se2 0.2519 0.2519 0.2443  3 Er 2.92, 3 Ho 2.97

No. 4
Compound: Ho2ErSe3
Source: Alexandria
Functional: GGA-PBE
Structure: relaxed

Computed properties:
Calculated total energy (eV per atom): -5.74
Calculated volume (Å³ per cell): 141
E_form (uncorrected) (eV/atom): -1.7096
Magnetization (μB/atom): 0.000

a b c (Å): 4.0687 5.7067 7.0017
angles (deg): 114.05 106.89 90.00
Closest atoms and distances in Å follow each position.
Fractional positions:
Ho1 0.8323 0.8323 0.1645  6 Se 2.85-2.88
Ho2 0.1677 0.1677 0.8355  6 Se 2.85-2.88
Er1 0.5000 0.5000 0.5000  6 Se 2.85-2.86
Se1 0.8346 0.3346 0.1692  4 Ho 2.85-2.87, 2 Er 2.86
Se2 0.1654 0.6654 0.8308  4 Ho 2.85-2.87, 2 Er 2.86
Se3 0.5000 0.0000 0.5000  2 Er 2.85, 4 Ho 2.88

No. 5
Compound: Ho4Er3Se8
Source: Alexandria
Functional: GGA-PBE
Structure: relaxed

Computed properties:
Calculated total energy (eV per atom): -5.80
Calculated volume (Å³ per cell): 371
E_form (uncorrected) (eV/atom): -1.8045
Magnetization (μB/atom): 0.000

a b c (Å): 8.0662 8.0652 8.0652
angles (deg): 90.00 120.01 120.01
Closest atoms and distances in Å follow each position.
Fractional positions:
Ho1 0.5000 0.0000 0.0000  6 Se 2.86
Ho2 0.0000 0.5000 0.0000  6 Se 2.85
Ho3 0.0000 0.0000 0.0000  6 Se 2.90
Ho4 0.0000 0.0000 0.5000  6 Se 2.85
Er1 0.5000 0.5000 0.0000  6 Se 2.85
Er2 0.5000 0.0000 0.5000  6 Se 2.85
Er3 0.5000 0.5000 0.5000  6 Se 2.84-2.85
Se1 0.5079 0.2545 0.2545  3 Er 2.85, 2 Ho 2.86-2.90
Se2 0.0000 0.7461 0.2539  2 Er 2.85, 3 Ho 2.85-2.90
Se3 0.0011 0.2545 0.2545  1 Er 2.84, 4 Ho 2.85-2.90
Se4 0.5000 0.7494 0.2506  3 Er 2.84-2.85, 3 Ho 2.85-2.86
Se5 0.5000 0.2506 0.7494  3 Er 2.84-2.85, 3 Ho 2.85-2.86
Se6 0.9989 0.7455 0.7455  1 Er 2.84, 4 Ho 2.85-2.90
Se7 0.0000 0.2539 0.7461  2 Er 2.85, 3 Ho 2.85-2.90
Se8 0.4921 0.7455 0.7455  3 Er 2.85, 2 Ho 2.86-2.90

No. 6
Compound: Ho2ErSe4
Source: Alexandria
Functional: GGA-PBE
Structure: relaxed

Computed properties:
Calculated total energy (eV per atom): -5.77
Calculated volume (Å³ per cell): 193
E_form (uncorrected) (eV/atom): -1.8148
Magnetization (μB/atom): 0.000

a b c (Å): 4.0733 7.1066 7.9100
angles (deg): 118.05 104.92 90.00
Closest atoms and distances in Å follow each position.
Fractional positions:
Ho1 0.2656 0.2550 0.5312  6 Se 2.82-2.93
Ho2 0.7344 0.7450 0.4688  6 Se 2.82-2.93
Er1 0.0000 0.0000 0.0000  6 Se 2.83-2.89
Se1 0.1221 0.8016 0.2442  3 Ho 2.82-2.88, 1 Er 2.83
Se2 0.8779 0.1984 0.7558  3 Ho 2.82-2.88, 1 Er 2.83
Se3 0.3663 0.7200 0.7325  2 Er 2.89, 3 Ho 2.89-2.93
Se4 0.6337 0.2800 0.2675  2 Er 2.89, 3 Ho 2.89-2.93

No. 7
Compound: Ho3Er2Se8
Source: Alexandria
Functional: GGA-PBE
Structure: relaxed

Computed properties:
Calculated total energy (eV per atom): -5.60
Calculated volume (Å³ per cell): 379
E_form (uncorrected) (eV/atom): -1.6979
Magnetization (μB/atom): 0.000

a b c (Å): 6.9437 8.1449 8.1867
angles (deg): 119.83 106.79 90.00
Closest atoms and distances in Å follow each position.
Fractional positions:
Ho1 0.5000 0.0000 0.0000  6 Se 2.82-2.87
Ho2 0.0000 0.2613 0.0000  6 Se 2.80-2.87
Ho3 0.0000 0.7387 0.0000  6 Se 2.80-2.87
Er1 0.3372 0.2571 0.5143  6 Se 2.80-2.89
Er2 0.6628 0.7429 0.4857  6 Se 2.80-2.89
Se1 0.9047 0.6194 0.2387  2 Ho 2.80, 1 Er 2.80
Se2 0.0953 0.3806 0.7613  2 Ho 2.80, 1 Er 2.80
Se3 0.9239 0.1191 0.2382  3 Ho 2.87, 1 Er 2.89
Se4 0.0761 0.8809 0.7618  3 Ho 2.87, 1 Er 2.89
Se5 0.5857 0.6362 0.7523  2 Ho 2.82-2.83, 2 Er 2.89
Se6 0.5857 0.1161 0.7523  2 Ho 2.82-2.83, 2 Er 2.89
Se7 0.4143 0.8839 0.2477  2 Ho 2.82-2.83, 2 Er 2.89
Se8 0.4143 0.3638 0.2477  2 Ho 2.82-2.83, 2 Er 2.89

No. 8
Compound: HoEr2Se4
Source: Alexandria
Functional: GGA-PBE
Structure: relaxed

Computed properties:
Calculated total energy (eV per atom): -5.76
Energy above the lowest structure with this stoichiometry (meV per atom): 0.0
Calculated volume (Å³ per cell): 193
E_form (uncorrected) (eV/atom): -1.8146
Magnetization (μB/atom): 0.000

a b c (Å): 4.0655 7.0715 7.9170
angles (deg): 117.78 104.88 90.00
Closest atoms and distances in Å follow each position.
Fractional positions:
Ho1 0.0000 0.0000 0.0000  6 Se 2.85-2.90
Er1 0.2645 0.2540 0.5290  6 Se 2.81-2.92
Er2 0.7355 0.7460 0.4710  6 Se 2.81-2.92
Se1 0.1235 0.8012 0.2470  3 Er 2.81-2.87, 1 Ho 2.85
Se2 0.8765 0.1988 0.7530  3 Er 2.81-2.87, 1 Ho 2.85
Se3 0.3655 0.7178 0.7309  3 Er 2.87-2.92, 2 Ho 2.90
Se4 0.6345 0.2822 0.2691  3 Er 2.87-2.92, 2 Ho 2.90

No. 9
Compound: Ho6Er2Se3
Source: Alexandria
Functional: GGA-PBE
Structure: relaxed

Computed properties:
Calculated total energy (eV per atom): -5.14
Calculated volume (Å³ per cell): 308
E_form (uncorrected) (eV/atom): -0.8675
Magnetization (μB/atom): 0.000

a b c (Å): 3.7686 3.7686 25.1207
angles (deg): 85.70 85.70 60.00
Closest atoms and distances in Å follow each position.
Fractional positions:
Ho1 0.0739 0.0739 0.7783  3 Se 2.89
Ho2 0.9261 0.9261 0.2217  3 Se 2.89
Ho3 0.1851 0.1851 0.4448  9 Ho 3.52-3.77, 3 Er 3.55
Ho4 0.8149 0.8149 0.5552  9 Ho 3.52-3.77, 3 Er 3.55
Ho5 0.3579 0.3579 0.9264  6 Se 2.83-2.85
Ho6 0.6421 0.6421 0.0736  6 Se 2.83-2.85
Er1 0.4442 0.4442 0.6672  6 Ho 3.53-3.55, 6 Er 3.77
Er2 0.5558 0.5558 0.3328  6 Ho 3.53-3.55, 6 Er 3.77
Se1 0.0000 0.0000 0.0000  6 Ho 2.85
Se2 0.2848 0.2848 0.1456  6 Ho 2.83-2.89
Se3 0.7152 0.7152 0.8544  6 Ho 2.83-2.89

No. 10
Compound: HoEr3Se4
Source: Alexandria
Functional: GGA-PBE
Structure: relaxed

Computed properties:
Calculated total energy (eV per atom): -5.71
Energy above the lowest structure with this stoichiometry (meV per atom): 13.1
Calculated volume (Å³ per cell): 187
E_form (uncorrected) (eV/atom): -1.6884
Magnetization (μB/atom): 0.000

a b c (Å): 5.7160 5.7160 5.7160
angles (deg): 90.00 90.00 90.00
Closest atoms and distances in Å follow each position.
Fractional positions:
Ho1 0.0000 0.0000 0.0000  6 Se 2.86
Er1 0.0000 0.5000 0.5000  6 Se 2.86
Er2 0.5000 0.0000 0.5000  6 Se 2.86
Er3 0.5000 0.5000 0.0000  6 Se 2.86
Se1 0.5000 0.0000 0.0000  4 Er 2.86, 2 Ho 2.86
Se2 0.0000 0.5000 0.0000  4 Er 2.86, 2 Ho 2.86
Se3 0.0000 0.0000 0.5000  4 Er 2.86, 2 Ho 2.86
Se4 0.5000 0.5000 0.5000  6 Er 2.86

For each record above, in turn, the calculated N(E_F) values are 6.11, 4.78, 0.92, 2.52, 6.01, 2.94, 6.47, 2.85, 11.13, 5.09 states/eV/cell.